The following is a DFT calculation (PBE) of an optimized crystal structure of Pr2Dy5Sc.

The structure in CIF format:
```
data_Pr2Dy5Sc
_chemical_formula_sum 'Pr4 Dy10 Sc2'
_symmetry_space_group_name_H-M 'P b a m'
_symmetry_Int_Tables_number 55
_symmetry_space_group_name_Hall '-P 2 2ab'
_cell_length_a 7.105
_cell_length_b 14.223
_cell_length_c 5.009
_cell_angle_alpha 90.00
_cell_angle_beta 90.00
_cell_angle_gamma 90.00
loop_
_atom_site_label
_atom_site_type_symbol
_atom_site_fract_x
_atom_site_fract_y
_atom_site_fract_z
Pr1 Pr 0.246 0.123 0.000
Dy1 Dy 0.000 0.500 0.500
Dy2 Dy 0.004 0.752 0.500
Dy3 Dy 0.248 0.376 0.000
Sc1 Sc 0.000 0.000 0.500
```

Output
density of states at the Fermi level: 11.9 states/eV/f.u.
crystal system: orthorhombic
uncorrected energy: -4.8276 eV/atom
DFT formation energy: 0.035 eV per atom
ρ: 7.47 g/cm3
excess energy over the best structure of this formula in the dataset: 0 meV per atom



The following is a DFT calculation (PBE) of an optimized crystal structure of GdThPd2.

The structure in CIF format:
```
data_GdThPd2
_chemical_formula_sum 'Gd4 Th4 Pd8'
_symmetry_space_group_name_H-M 'F m -3 m'
_symmetry_Int_Tables_number 225
_symmetry_space_group_name_Hall '-F 4 2 3'
_cell_length_a 7.186
_cell_length_b 7.186
_cell_length_c 7.186
_cell_angle_alpha 90.00
_cell_angle_beta 90.00
_cell_angle_gamma 90.00
loop_
_atom_site_label
_atom_site_type_symbol
_atom_site_fract_x
_atom_site_fract_y
_atom_site_fract_z
Gd1 Gd 0.000 0.000 0.000
Th1 Th 0.000 0.000 0.500
Pd1 Pd 0.250 0.250 0.250
```

Output
density of states at the Fermi level: 2.6 states/eV/f.u.
crystal system: cubic
uncorrected energy: -8.7065 eV/atom
DFT formation energy: -0.735 eV per atom
ρ: 10.78 g/cm3
excess energy over the best structure of this formula in the dataset: 0 meV per atom



The following is a DFT calculation (PBE) of an optimized crystal structure of Pu2AlC.

The structure in CIF format:
```
data_Pu2AlC
_chemical_formula_sum 'Pu2 Al1 C1'
_symmetry_space_group_name_H-M 'P 4/m m m'
_symmetry_Int_Tables_number 123
_symmetry_space_group_name_Hall '-P 4 2'
_cell_length_a 3.050
_cell_length_b 3.050
_cell_length_c 7.706
_cell_angle_alpha 90.00
_cell_angle_beta 90.00
_cell_angle_gamma 90.00
loop_
_atom_site_label
_atom_site_type_symbol
_atom_site_fract_x
_atom_site_fract_y
_atom_site_fract_z
Pu1 Pu 0.000 0.000 0.183
Al1 Al 0.500 0.500 0.500
C1 C 0.500 0.500 0.000
```

Output
density of states at the Fermi level: 8.2 states/eV/f.u.
crystal system: tetragonal
uncorrected energy: -10.3742 eV/atom
DFT formation energy: 0.033 eV per atom
ρ: 12.21 g/cm3



The following is a DFT calculation (PBE) of an optimized crystal structure of MnNi4W.

The structure in CIF format:
```
data_MnNi4W
_chemical_formula_sum 'Mn4 Ni16 W4'
_symmetry_space_group_name_H-M 'F -4 3 m'
_symmetry_Int_Tables_number 216
_symmetry_space_group_name_Hall 'F -4 2 3'
_cell_length_a 6.601
_cell_length_b 6.601
_cell_length_c 6.601
_cell_angle_alpha 90.00
_cell_angle_beta 90.00
_cell_angle_gamma 90.00
loop_
_atom_site_label
_atom_site_type_symbol
_atom_site_fract_x
_atom_site_fract_y
_atom_site_fract_z
Mn1 Mn 0.000 0.000 0.000
Ni1 Ni 0.125 0.125 0.625
W1 W 0.250 0.250 0.250
```

Output
density of states at the Fermi level: 6.3 states/eV/f.u.
crystal system: cubic
uncorrected energy: -7.5364 eV/atom
DFT formation energy: 0.005 eV per atom
ρ: 10.94 g/cm3
excess energy over the best structure of this formula in the dataset: 19 meV per atom